TaCdTeN2 after structural relaxation, computed with PBE-GGA.

The density of states at the Fermi level comes out at 3.63 states/eV/f.u. The calculation puts the uncorrected formation energy at 2045.2 meV per atom. For the offset from the most stable computed form, the calculation gives 1.895 eV per atom. The volume is 20.545 Å³/atom.

The space group is P4/mmm (No. 123) and the conventional cell measures 4.194, 4.194 and 5.841 Å, with angles of 90.00, 90.00 and 90.00 degrees. The inequivalent atoms are Ta at (0.000, 0.000, 0.000), Cd at (0.500, 0.500, 0.500), Te at (0.500, 0.500, 0.000) and N at (0.000, 0.500, 0.500).

***

ZrAlBi3 after structural relaxation, computed with PBE-GGA.

The calculation puts the formation enthalpy at 0 K at 0.74 eV per atom. The density of states at the Fermi level comes out at 5.09 states/eV/f.u. The volume is 30.979 Å³/atom.

The space group is Pm-3m (No. 221) and the conventional cell measures 5.370, 5.370 and 5.370 Å, with angles of 90.00, 90.00 and 90.00 degrees. The inequivalent atoms are Zr at (0.000, 0.000, 0.000), Al at (0.500, 0.500, 0.500) and Bi at (0.000, 0.500, 0.500).

***

NpUIr2 after structural relaxation, computed with PBE-GGA.

The calculation puts the formation enthalpy at 0 K at -0.31 eV per atom. The density of states at the Fermi level comes out at 8.34 states/eV/f.u. For the offset from the most stable computed form, the calculation gives 0.000 eV per atom. The volume is 20.047 Å³/atom.

The space group is P4/mmm (No. 123) and the conventional cell measures 3.425, 3.425 and 6.835 Å, with angles of 90.00, 90.00 and 90.00 degrees. The inequivalent atoms are Np at (0.000, 0.000, 0.000), U at (0.000, 0.000, 0.500) and Ir at (0.500, 0.500, 0.260).

***

DyErTmLu after structural relaxation, computed with PBE-GGA.

The calculation puts the formation enthalpy at 0 K at 0.13 eV per atom. The density of states at the Fermi level comes out at 9.19 states/eV/f.u. The volume is 30.636 Å³/atom.

The space group is F-43m (No. 216) and the conventional cell measures 7.885, 7.885 and 7.885 Å, with angles of 90.00, 90.00 and 90.00 degrees. The inequivalent atoms are Dy at (0.000, 0.000, 0.000), Er at (0.000, 0.000, 0.500), Tm at (0.250, 0.250, 0.250) and Lu at (0.250, 0.250, 0.750).

***

Q: volume of number 1 (TaCdTeN2)?
A: 20.545 Å³/atom

***

Q: Which value of volume does entry 2 give?
A: 30.979 Å³/atom

***

Q: What is the volume in the third record?
A: 20.047 Å³/atom